The following is a PBE with a Hubbard U calculation of an optimized crystal structure of AcW4O12, from the Alexandria database.

a = 6.818 Å, b = 6.818 Å, c = 6.818 Å
α = 109.47°, β = 109.47°, γ = 109.47°
Element x y z (fractional)
Ac 0.000 0.000 0.000
W 0.000 0.000 0.500
W 0.000 0.500 0.000
W 0.500 0.000 0.000
W 0.500 0.500 0.500
O 0.000 0.245 0.755
O 0.000 0.755 0.245
O 0.245 0.000 0.755
O 0.245 0.245 0.490
O 0.245 0.490 0.245
O 0.245 0.755 0.000
O 0.490 0.245 0.245
O 0.510 0.755 0.755
O 0.755 0.000 0.245
O 0.755 0.245 0.000
O 0.755 0.510 0.755
O 0.755 0.755 0.510

Values from the calculation:
**D(E_F)**: 0.14 states/eV/atom
**E**: -7.63 eV per atom
**Space-group type**: Im-3m (229)
**M_tot**: 0.4 μB per formula unit
**ρ**: 7.86 g cm⁻³